## Li3AgSn3Hg2 (PBE-GGA)

Data for Li3AgSn3Hg2 after structural relaxation.

Cell lengths 8.1176, 8.1176, 3.3739 Å; angles 90.00, 90.00, 120.00 degrees
Last column: nearest neighbours and their distance in Å.
Space group P-62m (No. 189)
One atom of each set of equivalent atoms:
Li  0.0000  0.3674  0.0000 (multiplicity 3)  1 Ag 2.98, 4 Hg 3.08, 6 Sn 3.20-3.26
Ag  0.0000  0.0000  0.0000 (multiplicity 1)  6 Sn 2.89, 3 Li 2.98
Sn  0.0000  0.7104  0.5000 (multiplicity 3)  2 Ag 2.89, 2 Hg 2.90, 4 Li 3.20
Hg  0.3333  0.6667  0.5000 (multiplicity 2)  3 Sn 2.90, 6 Li 3.08

Computed properties:
Its total energy is -2.586 eV/atom. As for the volume: 193 Å³/cell. The calculation puts the formation energy at -230 meV/atom.

## BaLiHg2 (PBE-GGA)

Data for BaLiHg2 after structural relaxation.

Cell lengths 7.8132, 7.7919, 4.0825 Å; angles 90.00, 90.22, 90.00 degrees
Last column: nearest neighbours and their distance in Å.
Space group C2/m (No. 12)
One atom of each set of equivalent atoms:
Ba  0.0000  0.0000  0.0000 (multiplicity 2)  8 Hg 3.43-3.44
Li  0.0000  0.5000  0.0000 (multiplicity 2)  8 Hg 3.43-3.44
Hg  0.2500  0.2500  0.5000 (multiplicity 4)  4 Ba 3.43-3.44, 4 Li 3.43-3.44

Computed properties:
Its total energy is -1.384 eV/atom. As for the volume: 249 Å³/cell. The calculation puts the formation energy at -274 meV/atom.

## TaVTe2N (PBE-GGA)

Data for TaVTe2N after structural relaxation.

Cell lengths 5.5507, 5.5507, 3.8711 Å; angles 90.00, 90.00, 90.00 degrees
Last column: nearest neighbours and their distance in Å.
Space group P4/mmm (No. 123)
One atom of each set of equivalent atoms:
Ta  0.0000  0.0000  0.0000 (multiplicity 1)  2 N 1.94
V  0.5000  0.5000  0.5000 (multiplicity 1)  8 Te 3.38
Te  0.0000  0.5000  0.0000 (multiplicity 2)  2 Ta 2.78
N  0.0000  0.0000  0.5000 (multiplicity 1)  2 Ta 1.94

Computed properties:
Its total energy is -6.776 eV/atom. As for the volume: 119 Å³/cell.

Question: The lowest volume belongs to which entry?
Answer: TaVTe2N